# Tb6SnHg5, optimized geometry, DFT PBE
data_Tb6SnHg5
_chemical_formula_sum 'Tb12 Sn2 Hg10'
_space_group_name_H-M_alt 'C 1 2/m 1'
_space_group_IT_number 12
_space_group_name_Hall '-C 2y'
_cell_length_a 16.811
_cell_length_b 7.442
_cell_length_c 5.302
_cell_angle_alpha 90.00
_cell_angle_beta 108.32
_cell_angle_gamma 90.00
loop_
_atom_site_label
_atom_site_type_symbol
_atom_site_fract_x
_atom_site_fract_y
_atom_site_fract_z
Tb1 Tb 0.000 0.250 0.000
Tb2 Tb 0.167 0.250 0.667
Sn1 Sn 0.000 0.000 0.500
Hg1 Hg 0.000 0.500 0.500
Hg2 Hg 0.166 0.500 0.166
Hg3 Hg 0.172 0.000 0.173
# E_form: -50.1 kJ/mol of atoms
# V: 630 Å³/cell